PBE LiZr2Pa, relaxed; uncorrected energy = -6.90 eV per atom; energy of formation from the pure elements = 227 meV/atom; spin magnetization = 0.00 μB/atom; density of states at the Fermi level = 1.15 states/eV/atom; space-group type = P4/mmm, No. 123; crystal system = tetragonal; polymorph energy (0 for the lowest one) = 0 meV/atom
1.0
3.607 0.000 0.000
0.000 3.607 0.000
0.000 0.000 6.685
Pa Zr Li
1 2 1
Direct
0.500 0.500 0.500
0.000 0.000 0.747
0.000 0.000 0.253
0.500 0.500 0.000